A PBEsol-optimized structure of K2MnW, computed with meta-GGA SCAN.

The structure in CIF format:
```
data_K2MnW
_chemical_formula_sum 'K2 Mn1 W1'
_space_group_name_H-M_alt 'P 4 m m'
_space_group_IT_number 99
_cell_length_a 3.2062
_cell_length_b 3.2062
_cell_length_c 10.6007
_cell_angle_alpha 90.00
_cell_angle_beta 90.00
_cell_angle_gamma 90.00
loop_
_space_group_symop_operation_xyz
'x,y,z'
'-y,x,z'
'-x,-y,z'
'y,-x,z'
'-x,y,z'
'y,x,z'
'x,-y,z'
'-y,-x,z'
loop_
_atom_site_label
_atom_site_fract_x
_atom_site_fract_y
_atom_site_fract_z
K1 0.0000 0.0000 0.0000
K2 0.5000 0.5000 0.4036
Mn1 0.0000 0.0000 0.6518
W1 0.5000 0.5000 0.7371
```

Output
The value obtained for the energy above the most stable polymorph in this dataset is 0.000 eV/atom. For the energy relative to the elements, the calculation gives 0.87 eV per atom. The calculation puts the size of the total moment at 2.42 μB/f.u. The crystal system is tetragonal. The calculation puts the volume at 27.2 Å³ per atom.